SrInTc2 | PBE | relaxed

a = 4.8286 Å, b = 4.8286 Å, c = 4.8286 Å
α = 60.00°, β = 60.00°, γ = 60.00°
Fractional coordinates of all 4 atoms:
In: 0.5000 0.5000 0.5000
Sr: 0.7500 0.7500 0.7500
Tc: 0.0000 0.0000 0.0000
Tc: 0.2500 0.2500 0.2500

Values from the calculation:
Total magnetic moment in μB/cell: 0.00
Energy relative to the elements in eV/atom: 0.682